No. 1
PmTm4Pd2 | Alexandria | PBE | relaxed; ΔH_f (0 K) = -0.389 eV per atom; ρ = 8.7 Mg/m³; V = 196.5 Å³/cell; space group = R-3m, No. 166; final energy = -5.1065 eV per atom
1.0
-1.165 2.007 3.052
-1.140 -1.825 3.173
13.705 0.322 7.426
Pm Tm Pd
1 4 2
Direct
0.500 0.500 0.500
0.698 0.698 0.907
0.895 0.895 0.314
0.302 0.302 0.093
0.105 0.105 0.686
0.599 0.599 0.204
0.401 0.401 0.796

No. 2
PmTm5Pd6 | Alexandria | PBE | relaxed; ΔH_f (0 K) = -0.908 eV per atom; ρ = 10.7 Mg/m³; V = 253.9 Å³/cell; space group = C2/m, No. 12; final energy = -5.7631 eV per atom
1.0
4.774 0.024 -1.386
-0.937 6.001 -3.125
-0.080 0.558 8.561
Tm Pd Pm
5 6 1
Direct
0.667 0.167 0.334
0.333 0.333 0.666
0.000 0.500 0.000
0.667 0.667 0.334
0.333 0.833 0.666
0.828 0.573 0.656
0.828 0.083 0.656
0.500 0.738 0.000
0.500 0.262 0.000
0.172 0.917 0.344
0.172 0.427 0.344
0.000 0.000 0.000

No. 3
Pm4TmPd2 | Alexandria | PBE | relaxed; ΔH_f (0 K) = -0.274 eV per atom; ρ = 7.6 Mg/m³; V = 208.9 Å³/cell; space group = R-3m, No. 166; final energy = -5.1107 eV per atom
1.0
5.308 0.000 0.000
2.654 4.597 0.000
2.654 1.532 8.562
Pm Tm Pd
4 1 2
Direct
0.713 0.713 0.862
0.882 0.882 0.355
0.287 0.287 0.138
0.118 0.118 0.645
0.500 0.500 0.500
0.603 0.603 0.190
0.397 0.397 0.810

No. 4
Pm2TmPd5 | Alexandria | PBE | relaxed; ΔH_f (0 K) = -0.773 eV per atom; ρ = 10.0 Mg/m³; V = 163.9 Å³/cell; space group = I4mm, No. 107; final energy = -5.7649 eV per atom
1.0
6.695 -0.002 0.000
-0.002 6.695 0.000
-3.346 -3.346 3.657
Pm Tm Pd
2 1 5
Direct
0.246 0.746 0.492
0.746 0.246 0.492
0.118 0.118 0.235
0.695 0.265 0.960
0.265 0.265 0.960
0.695 0.695 0.960
0.265 0.695 0.960
0.747 0.747 0.495

No. 5
Pm3TmPd12 | Alexandria | PBE | relaxed; ΔH_f (0 K) = -0.821 eV per atom; ρ = 10.8 Mg/m³; V = 288.6 Å³/cell; space group = P4/mmm, No. 123; final energy = -5.8860 eV per atom
1.0
-3.135 1.606 -2.209
2.052 -0.833 -3.518
-7.237 -15.032 -0.661
Pm Tm Pd
3 1 12
Direct
0.000 0.000 0.246
0.000 0.000 0.500
0.000 0.000 0.754
0.000 0.000 0.000
0.500 0.500 0.000
0.500 0.500 0.247
0.500 0.500 0.500
0.500 0.500 0.753
0.500 0.000 0.120
0.500 0.000 0.374
0.500 0.000 0.626
0.500 0.000 0.880
0.000 0.500 0.120
0.000 0.500 0.374
0.000 0.500 0.626
0.000 0.500 0.880

No. 6
PmTm2Pd | Alexandria | PBE | relaxed; ΔH_f (0 K) = -0.329 eV per atom; ρ = 8.4 Mg/m³; V = 116.1 Å³/cell; space group = R3m, No. 160; final energy = -5.0501 eV per atom
1.0
3.833 0.000 0.000
1.916 3.319 0.000
1.916 1.106 9.123
Pm Tm Pd
1 2 1
Direct
0.502 0.502 0.495
0.062 0.062 0.815
0.271 0.271 0.187
0.666 0.666 0.003